1.
# GGA-PBE PrEr2Al2Zn2, optimized geometry
data_PrEr2Al2Zn2
_space_group_name_H-M_alt 'R -3 m'
_space_group_IT_number 166
_space_group_name_Hall '-R 3 2"'
_cell_length_a 4.5353
_cell_length_b 4.5353
_cell_length_c 27.6176
_cell_angle_alpha 90.00
_cell_angle_beta 90.00
_cell_angle_gamma 120.00
loop_
_atom_site_label
_atom_site_type_symbol
_atom_site_fract_x
_atom_site_fract_y
_atom_site_fract_z
Pr1 Pr 0.0000 0.0000 0.0000
Er1 Er 0.0000 0.0000 0.1295
Al1 Al 0.0000 0.0000 0.2577
Zn1 Zn 0.0000 0.0000 0.4070
# E_form = -307 meV/atom
# calculated volume = 23.4 Å³ per atom

***

2.
# GGA-PBE PrErAlZn, optimized geometry
data_PrErAlZn
_space_group_name_H-M_alt 'F -4 3 m'
_space_group_IT_number 216
_space_group_name_Hall 'F -4 2 3'
_cell_length_a 7.312
_cell_length_b 7.312
_cell_length_c 7.312
_cell_angle_alpha 90.00
_cell_angle_beta 90.00
_cell_angle_gamma 90.00
loop_
_atom_site_label
_atom_site_type_symbol
_atom_site_fract_x
_atom_site_fract_y
_atom_site_fract_z
Pr1 Pr 0.000 0.000 0.000
Er1 Er 0.000 0.000 0.500
Al1 Al 0.250 0.250 0.250
Zn1 Zn 0.250 0.250 0.750
# E_form = -335 meV/atom
# distance to the lowest polymorph of the same formula = 1.6 kJ per mole of atoms
# calculated volume = 24.4 Å³ per atom

***

3.
# GGA-PBE PrErAlZn, optimized geometry
data_PrErAlZn
_space_group_name_H-M_alt 'P 4 m m'
_space_group_IT_number 99
_cell_length_a 3.624
_cell_length_b 3.624
_cell_length_c 7.404
_cell_angle_alpha 90.00
_cell_angle_beta 90.00
_cell_angle_gamma 90.00
loop_
_space_group_symop_operation_xyz
'x,y,z'
'-y,x,z'
'-x,-y,z'
'y,-x,z'
'-x,y,z'
'y,x,z'
'x,-y,z'
'-y,-x,z'
loop_
_atom_site_label
_atom_site_type_symbol
_atom_site_fract_x
_atom_site_fract_y
_atom_site_fract_z
Pr1 Pr 0.000 0.000 0.000
Er1 Er 0.000 0.000 0.509
Al1 Al 0.500 0.500 0.272
Zn1 Zn 0.500 0.500 0.724
# E_form = -352 meV/atom
# distance to the lowest polymorph of the same formula = 0.0 kJ per mole of atoms
# calculated volume = 24.3 Å³ per atom

***

4.
# GGA-PBE Er3Al7Pt4, optimized geometry
data_Er3Al7Pt4
_space_group_name_H-M_alt 'C 1 2/m 1'
_space_group_IT_number 12
_cell_length_a 15.626
_cell_length_b 4.232
_cell_length_c 9.454
_cell_angle_alpha 90.00
_cell_angle_beta 125.29
_cell_angle_gamma 90.00
loop_
_space_group_symop_operation_xyz
'x,y,z'
'-x,-y,-z'
'-x,y,-z'
'x,-y,z'
'x+1/2,y+1/2,z'
'-x+1/2,-y+1/2,-z'
'-x+1/2,y+1/2,-z'
'x+1/2,-y+1/2,z'
loop_
_atom_site_label
_atom_site_type_symbol
_atom_site_fract_x
_atom_site_fract_y
_atom_site_fract_z
Er1 Er 0.000 0.000 0.000
Er2 Er 0.193 0.500 0.697
Al1 Al 0.000 0.000 0.500
Al2 Al 0.005 0.500 0.295
Al3 Al 0.155 0.000 0.423
Al4 Al 0.182 0.500 0.026
Pt1 Pt 0.117 0.000 0.840
Pt2 Pt 0.161 0.500 0.278
# E_form = -1015 meV/atom
# calculated volume = 18.2 Å³ per atom

***

5.
# GGA-PBE ErAl5Pt3, optimized geometry
data_ErAl5Pt3
_space_group_name_H-M_alt 'C m c m'
_space_group_IT_number 63
_space_group_name_Hall '-C 2c 2'
_cell_length_a 4.042
_cell_length_b 12.953
_cell_length_c 12.411
_cell_angle_alpha 90.00
_cell_angle_beta 90.00
_cell_angle_gamma 90.00
loop_
_atom_site_label
_atom_site_type_symbol
_atom_site_fract_x
_atom_site_fract_y
_atom_site_fract_z
Er1 Er 0.000 0.136 0.250
Al1 Al 0.000 0.000 0.000
Al2 Al 0.000 0.200 0.559
Al3 Al 0.000 0.433 0.146
Pt1 Pt 0.000 0.131 0.750
Pt2 Pt 0.000 0.389 0.555
# E_form = -898 meV/atom
# calculated volume = 18.0 Å³ per atom

***

6.
# GGA-PBE Er2Al8Pt, optimized geometry
data_Er2Al8Pt
_space_group_name_H-M_alt 'P 4/m m m'
_space_group_IT_number 123
_space_group_name_Hall '-P 4 2'
_cell_length_a 4.276
_cell_length_b 4.276
_cell_length_c 11.149
_cell_angle_alpha 90.00
_cell_angle_beta 90.00
_cell_angle_gamma 90.00
loop_
_atom_site_label
_atom_site_type_symbol
_atom_site_fract_x
_atom_site_fract_y
_atom_site_fract_z
Er1 Er 0.000 0.000 0.188
Al1 Al 0.000 0.500 0.000
Al2 Al 0.000 0.500 0.374
Al3 Al 0.500 0.500 0.195
Pt1 Pt 0.000 0.000 0.500
# E_form = -554 meV/atom
# calculated volume = 18.5 Å³ per atom

***

7.
# GGA-PBE Er2AlPt4, optimized geometry
data_Er2AlPt4
_space_group_name_H-M_alt 'C 1 2/m 1'
_space_group_IT_number 12
_cell_length_a 8.169
_cell_length_b 5.455
_cell_length_c 7.702
_cell_angle_alpha 90.00
_cell_angle_beta 119.41
_cell_angle_gamma 90.00
loop_
_space_group_symop_operation_xyz
'x,y,z'
'-x,-y,-z'
'-x,y,-z'
'x,-y,z'
'x+1/2,y+1/2,z'
'-x+1/2,-y+1/2,-z'
'-x+1/2,y+1/2,-z'
'x+1/2,-y+1/2,z'
loop_
_atom_site_label
_atom_site_type_symbol
_atom_site_fract_x
_atom_site_fract_y
_atom_site_fract_z
Er1 Er 0.128 0.000 0.288
Al1 Al 0.000 0.500 0.000
Pt1 Pt 0.016 0.500 0.339
Pt2 Pt 0.250 0.250 0.000
# E_form = -988 meV/atom
# calculated volume = 21.4 Å³ per atom

***

8.
# GGA-PBE Er3Al2Pt6, optimized geometry
data_Er3Al2Pt6
_space_group_name_H-M_alt 'I m -3 m'
_space_group_IT_number 229
_space_group_name_Hall '-I 4 2 3'
_cell_length_a 9.474
_cell_length_b 9.474
_cell_length_c 9.474
_cell_angle_alpha 90.00
_cell_angle_beta 90.00
_cell_angle_gamma 90.00
loop_
_atom_site_label
_atom_site_type_symbol
_atom_site_fract_x
_atom_site_fract_y
_atom_site_fract_z
Er1 Er 0.000 0.000 0.300
Al1 Al 0.250 0.250 0.250
Pt1 Pt 0.000 0.320 0.320
# E_form = -1153 meV/atom
# calculated volume = 19.3 Å³ per atom

***

Copy entry 4 word for word.
# GGA-PBE Er3Al7Pt4, optimized geometry
data_Er3Al7Pt4
_space_group_name_H-M_alt 'C 1 2/m 1'
_space_group_IT_number 12
_cell_length_a 15.626
_cell_length_b 4.232
_cell_length_c 9.454
_cell_angle_alpha 90.00
_cell_angle_beta 125.29
_cell_angle_gamma 90.00
loop_
_space_group_symop_operation_xyz
'x,y,z'
'-x,-y,-z'
'-x,y,-z'
'x,-y,z'
'x+1/2,y+1/2,z'
'-x+1/2,-y+1/2,-z'
'-x+1/2,y+1/2,-z'
'x+1/2,-y+1/2,z'
loop_
_atom_site_label
_atom_site_type_symbol
_atom_site_fract_x
_atom_site_fract_y
_atom_site_fract_z
Er1 Er 0.000 0.000 0.000
Er2 Er 0.193 0.500 0.697
Al1 Al 0.000 0.000 0.500
Al2 Al 0.005 0.500 0.295
Al3 Al 0.155 0.000 0.423
Al4 Al 0.182 0.500 0.026
Pt1 Pt 0.117 0.000 0.840
Pt2 Pt 0.161 0.500 0.278
# E_form = -1015 meV/atom
# calculated volume = 18.2 Å³ per atom

***

Look up the calculated volume of the sixth one.
18.5 Å³ per atom

***

Among the records above, which one has the highest calculated volume?
number 2